Record 1
Entry from Alexandria: BaIrW2 at its PBEsol-relaxed geometry (SCAN).

Unit cell a=5.6471 b=5.6471 c=2.8180 alpha=90.00 beta=90.00 gamma=121.76
Closest atoms and distances in Å follow each position.
Fractional coordinates of all 4 atoms:
Ba  0.0000  0.0000  0.0000  2 Ir 2.75, 2 Ba 2.82
Ir  0.5000  0.5000  0.0000  2 Ba 2.75, 2 Ir 2.82
W  0.0000  0.5000  0.5000  4 W 2.75-2.82
W  0.5000  0.0000  0.5000  4 W 2.75-2.82

## Properties
The symmetry is Cmmm (65). For the excess energy over the best structure of this formula in the dataset, the calculation gives 914.6 meV/atom.



Record 2
Entry from Alexandria: BaIrW2 at its PBEsol-relaxed geometry (SCAN).

Unit cell a=4.9086 b=4.9086 c=6.5750 alpha=101.89 beta=101.89 gamma=35.91
Closest atoms and distances in Å follow each position.
Fractional coordinates of all 4 atoms:
Ba  0.0000  0.0000  0.0000  2 Ba 3.03, 2 Ir 3.31
Ir  0.2348  0.2348  0.6630  4 W 2.59
W  0.5122  0.5122  0.5142  2 W 2.53, 2 Ir 2.59
W  0.7966  0.7966  0.3746  2 W 2.53, 2 Ir 2.59

## Properties
The symmetry is Cm (8). For the excess energy over the best structure of this formula in the dataset, the calculation gives 23.1 meV/atom.



Record 3
Entry from Alexandria: BaIrW2 at its PBEsol-relaxed geometry (SCAN).

Unit cell a=6.2552 b=6.2552 c=6.2552 alpha=153.94 beta=130.90 gamma=56.42
Closest atoms and distances in Å follow each position.
Fractional coordinates of all 4 atoms:
Ba  0.0000  0.0000  0.0000  2 Ba 2.82, 4 Ir 2.96
Ir  0.5000  0.5000  0.0000  4 W 2.69, 2 Ir 2.82, 4 Ba 2.96
W  0.2926  0.7926  0.5000  2 Ir 2.69, 2 W 2.82
W  0.7074  0.2074  0.5000  2 Ir 2.69, 2 W 2.82

## Properties
The symmetry is Immm (71). For the excess energy over the best structure of this formula in the dataset, the calculation gives 257.7 meV/atom.



Record 4
Entry from Alexandria: BaYIr at its PBEsol-relaxed geometry (SCAN).

Unit cell a=7.4472 b=7.4472 c=7.4472 alpha=152.36 beta=152.36 gamma=39.48
Closest atoms and distances in Å follow each position.
Fractional coordinates of all 3 atoms:
Ba  0.0000  0.0000  0.0000  4 Ir 3.28, 1 Y 3.42, 4 Ba 3.56
Y  0.7557  0.7557  0.0000  4 Ir 2.84
Ir  0.3493  0.3493  0.0000  4 Y 2.84

## Properties
The symmetry is I4mm (107). For the excess energy over the best structure of this formula in the dataset, the calculation gives 0.0 meV/atom.



Record 5
Entry from Alexandria: BaY2Ir at its PBEsol-relaxed geometry (SCAN).

Unit cell a=5.1720 b=5.1720 c=5.1720 alpha=60.00 beta=60.00 gamma=60.00
Closest atoms and distances in Å follow each position.
Fractional coordinates of all 4 atoms:
Ba  0.0000  0.0000  0.0000  8 Y 3.17
Y  0.2500  0.2500  0.2500  4 Ba 3.17, 4 Ir 3.17
Y  0.7500  0.7500  0.7500  4 Ba 3.17, 4 Ir 3.17
Ir  0.5000  0.5000  0.5000  8 Y 3.17

## Properties
The symmetry is Fm-3m (225). As for the electronic total energy: -166.404 eV per cell.



Record 6
Entry from Alexandria: Ba2YIr at its PBEsol-relaxed geometry (SCAN).

Unit cell a=3.8203 b=9.5437 c=9.5437 alpha=25.15 beta=90.00 gamma=90.00
Closest atoms and distances in Å follow each position.
Fractional coordinates of all 4 atoms:
Ba  0.0000  0.0000  0.0000  1 Ir 3.06
Ba  0.5000  0.3035  0.3035  2 Ir 3.22
Y  0.5000  0.6434  0.6434  4 Ir 2.85
Ir  0.0000  0.1643  0.1643  4 Y 2.85, 1 Ba 3.06

## Properties
The symmetry is Amm2 (38). For the excess energy over the best structure of this formula in the dataset, the calculation gives 0.0 meV/atom.



Record 7
Entry from Alexandria: BaYIr at its PBEsol-relaxed geometry (SCAN).

Unit cell a=4.9740 b=4.9740 c=4.9740 alpha=60.00 beta=60.00 gamma=60.00
Closest atoms and distances in Å follow each position.
Fractional coordinates of all 3 atoms:
Ba  0.0000  0.0000  0.0000  4 Ir 3.05
Y  0.5000  0.5000  0.5000  4 Ir 3.05
Ir  0.7500  0.7500  0.7500  4 Y 3.05, 4 Ba 3.05

## Properties
The symmetry is F-43m (216). For the excess energy over the best structure of this formula in the dataset, the calculation gives 126.0 meV/atom.



Record 8
Entry from Alexandria: Ba2YIr at its PBEsol-relaxed geometry (SCAN).

Unit cell a=3.6739 b=3.6739 c=10.1569 alpha=90.00 beta=90.00 gamma=90.00
Closest atoms and distances in Å follow each position.
Fractional coordinates of all 4 atoms:
Ba  0.0000  0.0000  0.1781  4 Ir 3.17
Ba  0.0000  0.0000  0.8219  4 Ir 3.17
Y  0.5000  0.5000  0.5000  4 Y 3.67
Ir  0.5000  0.5000  0.0000  8 Ba 3.17

## Properties
The symmetry is P4/mmm (123). For the excess energy over the best structure of this formula in the dataset, the calculation gives 532.9 meV/atom.



Record 9
Entry from Alexandria: Ba2YIr at its PBEsol-relaxed geometry (SCAN).

Unit cell a=4.4630 b=4.4630 c=5.6549 alpha=90.00 beta=90.00 gamma=90.00
Closest atoms and distances in Å follow each position.
Fractional coordinates of all 4 atoms:
Ba  0.0000  0.5000  0.0000  4 Ba 3.16
Ba  0.5000  0.0000  0.0000  4 Ba 3.16
Y  0.0000  0.0000  0.5000  4 Ir 3.16
Ir  0.5000  0.5000  0.5000  4 Y 3.16

## Properties
The symmetry is P4/mmm (123). For the excess energy over the best structure of this formula in the dataset, the calculation gives 595.7 meV/atom.



Record 10
Entry from Alexandria: BaZn3Ir at its PBEsol-relaxed geometry (SCAN).

Unit cell a=6.7662 b=6.7662 c=6.7662 alpha=121.80 beta=90.77 gamma=117.36
Closest atoms and distances in Å follow each position.
Fractional coordinates of all 10 atoms:
Ba  0.3363  0.0863  0.2500  12 Zn 3.43-3.60, 2 Ir 3.76
Ba  0.6637  0.9137  0.7500  12 Zn 3.43-3.60, 2 Ir 3.76
Zn  0.1759  0.4259  0.7500  2 Ir 2.43
Zn  0.2074  0.0000  0.7074  2 Ir 2.44
Zn  0.2074  0.5000  0.2074  2 Ir 2.44
Zn  0.7926  0.0000  0.2926  2 Ir 2.44
Zn  0.7926  0.5000  0.7926  2 Ir 2.44
Zn  0.8241  0.5741  0.2500  2 Ir 2.43
Ir  0.0000  0.5000  0.5000  6 Zn 2.43-2.44
Ir  0.5000  0.5000  0.0000  6 Zn 2.43-2.44

## Properties
The symmetry is Imma (74). For the excess energy over the best structure of this formula in the dataset, the calculation gives 0.0 meV/atom.



Record 11
Entry from Alexandria: BaZn2Ir at its PBEsol-relaxed geometry (SCAN).

Unit cell a=6.1194 b=6.1194 c=6.1194 alpha=41.92 beta=41.92 gamma=41.92
Closest atoms and distances in Å follow each position.
Fractional coordinates of all 4 atoms:
Ba  0.0000  0.0000  0.0000  1 Zn 3.09, 1 Ir 3.17
Zn  0.5178  0.5178  0.5178  3 Ir 2.53, 3 Zn 2.60
Zn  0.8150  0.8150  0.8150  3 Zn 2.60, 3 Ir 2.62
Ir  0.1899  0.1899  0.1899  6 Zn 2.53-2.62

## Properties
The symmetry is R3m (160). As for the electronic total energy: -138.990 eV per cell.



Record 12
Entry from Alexandria: BaZn2Ir at its PBEsol-relaxed geometry (SCAN).

Unit cell a=4.3257 b=4.3257 c=6.1612 alpha=111.62 beta=111.62 gamma=60.68
Closest atoms and distances in Å follow each position.
Fractional coordinates of all 4 atoms:
Ba  0.0000  0.0000  0.0000  8 Zn 3.23-3.46
Zn  0.1933  0.1933  0.5803  3 Ir 2.54-2.55, 3 Zn 2.62-2.68
Zn  0.8067  0.8067  0.4197  3 Ir 2.54-2.55, 3 Zn 2.62-2.68
Ir  0.5000  0.5000  0.5000  6 Zn 2.54-2.55

## Properties
The symmetry is C2/m (12). As for the electronic total energy: -138.982 eV per cell.



Record 13
Entry from Alexandria: BaZn2Ir2 at its PBEsol-relaxed geometry (SCAN).

Unit cell a=5.9532 b=5.9532 c=5.9532 alpha=136.49 beta=136.49 gamma=63.22
Closest atoms and distances in Å follow each position.
Fractional coordinates of all 5 atoms:
Ba  0.0000  0.0000  0.0000  8 Ir 3.35, 8 Zn 3.36
Zn  0.2500  0.7500  0.5000  4 Ir 2.57
Zn  0.7500  0.2500  0.5000  4 Ir 2.57
Ir  0.3809  0.3809  0.0000  1 Ir 2.42, 4 Zn 2.57
Ir  0.6191  0.6191  0.0000  1 Ir 2.42, 4 Zn 2.57

## Properties
The symmetry is I4/mmm (139). As for the electronic total energy: -210.051 eV per cell.



Record 14
Entry from Alexandria: BaZn3Ir at its PBEsol-relaxed geometry (SCAN).

Unit cell a=4.8413 b=4.8413 c=4.8413 alpha=90.00 beta=90.00 gamma=90.00
Closest atoms and distances in Å follow each position.
Fractional coordinates of all 5 atoms:
Ba  0.0000  0.0000  0.0000  12 Zn 3.42
Zn  0.0000  0.5000  0.5000  2 Ir 2.42
Zn  0.5000  0.0000  0.5000  2 Ir 2.42
Zn  0.5000  0.5000  0.0000  2 Ir 2.42
Ir  0.5000  0.5000  0.5000  6 Zn 2.42

## Properties
The symmetry is Pm-3m (221). For the excess energy over the best structure of this formula in the dataset, the calculation gives 9.9 meV/atom.



Record 15
Entry from Alexandria: BaZrIr2 at its PBEsol-relaxed geometry (SCAN).

Unit cell a=5.2585 b=5.2585 c=6.0104 alpha=99.99 beta=99.99 gamma=34.65
Closest atoms and distances in Å follow each position.
Fractional coordinates of all 4 atoms:
Ba  0.0000  0.0000  0.0000  5 Ir 3.03-3.35, 2 Ba 3.13
Zr  0.8100  0.8100  0.4316  4 Ir 2.61-2.65
Ir  0.2243  0.2243  0.7231  2 Zr 2.61, 2 Ir 2.70
Ir  0.5271  0.5271  0.4940  3 Zr 2.65-2.93, 2 Ir 2.70

## Properties
The symmetry is Cm (8). For the excess energy over the best structure of this formula in the dataset, the calculation gives 153.7 meV/atom.



Record 16
Entry from Alexandria: BaZrIr at its PBEsol-relaxed geometry (SCAN).

Unit cell a=4.8256 b=4.8256 c=4.8256 alpha=60.00 beta=60.00 gamma=60.00
Closest atoms and distances in Å follow each position.
Fractional coordinates of all 3 atoms:
Ba  0.0000  0.0000  0.0000  4 Ir 2.96
Zr  0.5000  0.5000  0.5000  4 Ir 2.96
Ir  0.7500  0.7500  0.7500  4 Zr 2.96, 4 Ba 2.96

## Properties
The symmetry is F-43m (216). As for the electronic total energy: -140.789 eV per cell.



Record 17
Entry from Alexandria: BaZrIr2 at its PBEsol-relaxed geometry (SCAN).

Unit cell a=4.1134 b=6.6337 c=6.6337 alpha=32.34 beta=90.00 gamma=90.00
Closest atoms and distances in Å follow each position.
Fractional coordinates of all 4 atoms:
Ba  0.0000  0.0000  0.0000  5 Ir 3.17-3.23
Zr  0.5000  0.7299  0.7299  6 Ir 2.65-2.78
Ir  0.0000  0.2538  0.2538  2 Ir 2.60, 4 Zr 2.78
Ir  0.5000  0.3789  0.3789  2 Ir 2.60, 2 Zr 2.65

## Properties
The symmetry is Amm2 (38). For the excess energy over the best structure of this formula in the dataset, the calculation gives 0.0 meV/atom.



Record 18
Entry from Alexandria: BaZrIr2 at its PBEsol-relaxed geometry (SCAN).

Unit cell a=4.7665 b=4.7665 c=4.7665 alpha=60.00 beta=60.00 gamma=60.00
Closest atoms and distances in Å follow each position.
Fractional coordinates of all 4 atoms:
Ba  0.0000  0.0000  0.0000  4 Zr 2.92, 4 Ir 2.92
Zr  0.7500  0.7500  0.7500  4 Ir 2.92, 4 Ba 2.92
Ir  0.2500  0.2500  0.2500  4 Ba 2.92, 4 Ir 2.92
Ir  0.5000  0.5000  0.5000  4 Zr 2.92, 4 Ir 2.92

## Properties
The symmetry is F-43m (216). For the excess energy over the best structure of this formula in the dataset, the calculation gives 600.4 meV/atom.



Record 19
Entry from Alexandria: BaZr2Ir at its PBEsol-relaxed geometry (SCAN).

Unit cell a=5.0274 b=5.0274 c=3.2807 alpha=90.00 beta=90.00 gamma=90.00
Closest atoms and distances in Å follow each position.
Fractional coordinates of all 4 atoms:
Ba  0.0000  0.0000  0.0000  8 Zr 3.00, 2 Ba 3.28
Zr  0.0000  0.5000  0.5000  4 Ba 3.00, 4 Ir 3.00, 2 Zr 3.28
Zr  0.5000  0.0000  0.5000  4 Ba 3.00, 4 Ir 3.00, 2 Zr 3.28
Ir  0.5000  0.5000  0.0000  8 Zr 3.00, 2 Ir 3.28

## Properties
The symmetry is P4/mmm (123). For the excess energy over the best structure of this formula in the dataset, the calculation gives 654.2 meV/atom.



Record 20
Entry from Alexandria: BaZr2Ir at its PBEsol-relaxed geometry (SCAN).

Unit cell a=3.3787 b=3.3787 c=8.5893 alpha=90.00 beta=90.00 gamma=90.00
Closest atoms and distances in Å follow each position.
Fractional coordinates of all 4 atoms:
Ba  0.0000  0.0000  0.0000  4 Ba 3.38, 8 Zr 3.71
Zr  0.5000  0.5000  0.3302  4 Ir 2.80, 1 Zr 2.92
Zr  0.5000  0.5000  0.6698  4 Ir 2.80, 1 Zr 2.92
Ir  0.0000  0.0000  0.5000  8 Zr 2.80

## Properties
The symmetry is P4/mmm (123). For the excess energy over the best structure of this formula in the dataset, the calculation gives 138.0 meV/atom.



In order of appearance, total moment = 0.000 0.000 0.000 0.007 0.000 0.003 0.000 1.808 0.000 0.000 0.000 0.000 0.000 0.000 0.000 0.000 0.000 0.000 0.000 0.000 μB per formula unit.